No. 1
First-principles (GGA-PBE) data for crystalline LaSbO2F at its relaxed geometry, as listed in Alexandria via LeMat-Bulk.

Cell: 4.702 4.702 4.527 Å, 90.00 90.00 90.00°
Positions (direct):
La 0.000 0.000 0.000
O 0.000 0.500 0.000
O 0.500 0.000 0.000
Sb 0.500 0.500 0.500
F 0.000 0.000 0.500

Summary:
D(E_F) (states/eV/atom): 0.535
Size of the total moment (μB/f.u.): 0.00
Formation energy from raw total energies (eV per formula unit): -8.733
Total DFT energy (no corrections) (Ry per atom): -0.4347
V (Å³/f.u.): 100.07


No. 2
First-principles (GGA-PBE) data for crystalline La6PmSm2Y at its relaxed geometry, as listed in Alexandria via LeMat-Bulk.

Cell: 9.241 7.085 6.768 Å, 121.56 104.49 90.00°
Positions (direct):
Sm 0.173 0.077 0.153
La 0.800 0.425 0.387
Y 0.500 0.000 0.000
Sm 0.827 0.923 0.847
La 0.200 0.038 0.613
La 0.200 0.575 0.613
Pm 0.000 0.500 0.000
La 0.578 0.373 0.745
La 0.800 0.962 0.387
La 0.422 0.627 0.255

Summary:
D(E_F) (states/eV/atom): 1.795
Size of the total moment (μB/f.u.): 0.00
Total DFT energy (no corrections) (Ry per atom): -0.3556
V (Å³/f.u.): 360.89


No. 3
First-principles (GGA-PBE) data for crystalline MgZnS2 at its relaxed geometry, as listed in Alexandria via LeMat-Bulk.

Cell: 6.325 3.658 3.658 Å, 120.04 106.85 73.15°
Positions (direct):
S 0.757 0.747 0.253
S 0.243 0.253 0.747
Mg 0.500 0.500 0.500
Zn 0.000 0.000 0.000

Summary:
D(E_F) (states/eV/atom): 0.000
Size of the total moment (μB/f.u.): 0.00
Formation energy from raw total energies (eV per formula unit): -3.792
Total DFT energy (no corrections) (Ry per atom): -0.2741
V (Å³/f.u.): 69.05


No. 4
First-principles (GGA-PBE) data for crystalline NaBeMo3 at its relaxed geometry, as listed in Alexandria via LeMat-Bulk.

Cell: 4.347 4.347 4.347 Å, 90.00 90.00 90.00°
Positions (direct):
Na 0.500 0.500 0.500
Mo 0.500 0.000 0.000
Mo 0.000 0.000 0.500
Be 0.000 0.000 0.000
Mo 0.000 0.500 0.000

Summary:
D(E_F) (states/eV/atom): 1.594
Polymorph energy (0 for the lowest one) (meV per atom): 0
Size of the total moment (μB/f.u.): 0.00
Total DFT energy (no corrections) (Ry per atom): -0.4648
V (Å³/f.u.): 82.16